[1]
Below is KScCl2 after structural relaxation, with properties calculated at the GGA-PBE level.

Computed properties:
E_tot in eV for the cell shown: -50.9
Energy relative to the elements, uncorrected in eV/atom: -0.400

Unit cell a=7.5746 b=7.5746 c=7.5746 alpha=90.00 beta=90.00 gamma=90.00
Positions (direct):
K: 0.0000 0.0000 0.0000
K: 0.0000 0.5000 0.5000
K: 0.5000 0.0000 0.5000
K: 0.5000 0.5000 0.0000
Sc: 0.2500 0.2500 0.2500
Sc: 0.2500 0.7500 0.7500
Sc: 0.7500 0.2500 0.7500
Sc: 0.7500 0.7500 0.2500
Cl: 0.0000 0.0000 0.5000
Cl: 0.0000 0.5000 0.0000
Cl: 0.2500 0.2500 0.7500
Cl: 0.2500 0.7500 0.2500
Cl: 0.5000 0.0000 0.0000
Cl: 0.5000 0.5000 0.5000
Cl: 0.7500 0.2500 0.2500
Cl: 0.7500 0.7500 0.7500

=====

[2]
Below is KSc2Cl after structural relaxation, with properties calculated at the GGA-PBE level.

Computed properties:
E_tot in eV for the cell shown: -33.8
Energy relative to the elements, uncorrected in eV/atom: -0.319

Unit cell a=3.2595 b=5.2146 c=12.7908 alpha=90.00 beta=90.00 gamma=90.00
Positions (direct):
K: 0.0000 0.0000 0.0000
K: 0.5000 0.5000 0.5000
Sc: 0.0000 0.5000 0.2015
Sc: 0.0000 0.5000 0.7985
Sc: 0.5000 0.0000 0.2985
Sc: 0.5000 0.0000 0.7015
Cl: 0.0000 0.0000 0.5000
Cl: 0.5000 0.5000 0.0000

=====

[3]
Below is KSc2Cl after structural relaxation, with properties calculated at the GGA-PBE level.

Computed properties:
E_tot in eV for the cell shown: -35.2
Energy relative to the elements, uncorrected in eV/atom: -0.503

Unit cell a=3.8830 b=5.5649 c=10.0786 alpha=90.00 beta=90.00 gamma=90.00
Positions (direct):
K: 0.0000 0.0000 0.0000
K: 0.5000 0.5000 0.0000
Sc: 0.0000 0.0000 0.4310
Sc: 0.0000 0.5000 0.6598
Sc: 0.5000 0.0000 0.6598
Sc: 0.5000 0.5000 0.4310
Cl: 0.0000 0.5000 0.2371
Cl: 0.5000 0.0000 0.2371

=====

[4]
Below is KSc2Cl after structural relaxation, with properties calculated at the GGA-PBE level.

Computed properties:
E_tot in eV for the cell shown: -49.0
Energy relative to the elements, uncorrected in eV/atom: -0.179

Unit cell a=3.5810 b=3.5810 c=29.7076 alpha=90.00 beta=90.00 gamma=120.00
Positions (direct):
K: 0.0000 0.0000 0.0000
K: 0.3333 0.6667 0.6667
K: 0.6667 0.3333 0.3333
Sc: 0.0000 0.0000 0.1158
Sc: 0.0000 0.0000 0.8842
Sc: 0.3333 0.6667 0.5509
Sc: 0.3333 0.6667 0.7824
Sc: 0.6667 0.3333 0.2176
Sc: 0.6667 0.3333 0.4491
Cl: 0.0000 0.0000 0.5000
Cl: 0.3333 0.6667 0.1667
Cl: 0.6667 0.3333 0.8333

=====

[5]
Below is KSc2Cl after structural relaxation, with properties calculated at the GGA-PBE level.

Computed properties:
E_tot in eV for the cell shown: -53.8
Energy relative to the elements, uncorrected in eV/atom: -0.582

Unit cell a=3.5221 b=3.5221 c=30.3751 alpha=90.00 beta=90.00 gamma=120.00
Positions (direct):
K: 0.0000 0.0000 0.0000
K: 0.3333 0.6667 0.6667
K: 0.6667 0.3333 0.3333
Sc: 0.0000 0.0000 0.2184
Sc: 0.0000 0.0000 0.4731
Sc: 0.3333 0.6667 0.1398
Sc: 0.3333 0.6667 0.8851
Sc: 0.6667 0.3333 0.5518
Sc: 0.6667 0.3333 0.8064
Cl: 0.0000 0.0000 0.7455
Cl: 0.3333 0.6667 0.4121
Cl: 0.6667 0.3333 0.0788

=====

[6]
Below is KSc2Cl after structural relaxation, with properties calculated at the GGA-PBE level.

Computed properties:
E_tot in eV for the cell shown: -32.5
Energy relative to the elements, uncorrected in eV/atom: -0.162

Unit cell a=3.3846 b=6.0242 c=11.0396 alpha=90.00 beta=90.00 gamma=90.00
Positions (direct):
K: 0.0000 0.0000 0.0000
K: 0.5000 0.5000 0.0000
Sc: 0.0000 0.5000 0.3089
Sc: 0.0000 0.5000 0.6911
Sc: 0.5000 0.0000 0.3089
Sc: 0.5000 0.0000 0.6911
Cl: 0.0000 0.0000 0.5000
Cl: 0.5000 0.5000 0.5000

=====

Total moment across the listed records, respectively: 7.49; 1.03; 0.00; 0.00; 1.20; 2.70 Bohr magnetons per cell.
Excess energy over the best structure of this formula in the dataset across the listed records, respectively: 96.1; 25.4; 7.6; 38.9; 0.0; 40.5 kJ/mol of atoms.